A plane-wave DFT calculation with PBE was carried out for an optimized crystal structure of CoRu3W.

Geometry as extended XYZ:
```
5
Lattice="4.655 0.000 0.000 0.000 4.655 0.000 0.000 0.000 4.655" Properties=species:S:1:pos:R:3 pbc="T T T"
Ru 0.000 2.328 0.000
Ru 0.000 0.000 2.328
Ru 2.328 0.000 0.000
Co 2.328 2.328 2.328
W 0.000 0.000 0.000
```

Theoretical density (g/cm³): 8.986
Space-group type: Pm-3m, No. 221
Total magnetization (μB per atom): 0.90
Total DFT energy (no corrections) (eV per atom): -7.70
E_form (meV/atom): 1877.9